[1]
Below is an optimized crystal structure of Tb4ScCd5, with properties calculated at the PBE level.

Cell: 3.702 3.702 18.723 Å, 90.00 90.00 90.00°
Fractional coordinates of all 10 atoms:
Tb (0.000, 0.000, 0.102)
Tb (0.000, 0.000, 0.307)
Tb (0.000, 0.000, 0.693)
Tb (0.000, 0.000, 0.898)
Sc (0.000, 0.000, 0.500)
Cd (0.500, 0.500, 0.000)
Cd (0.500, 0.500, 0.205)
Cd (0.500, 0.500, 0.412)
Cd (0.500, 0.500, 0.588)
Cd (0.500, 0.500, 0.795)

Output
- Magnetization: 0.7 Bohr magnetons per cell

=====

[2]
Below is an optimized crystal structure of Tb4Sc5Cd, with properties calculated at the PBE level.

Cell: 7.692 7.692 7.692 Å, 97.18 97.18 138.58°
Fractional coordinates of all 10 atoms:
Tb (0.000, 0.316, 0.316)
Tb (0.000, 0.684, 0.684)
Tb (0.316, 0.000, 0.316)
Tb (0.684, 0.000, 0.684)
Sc (0.216, 0.216, 0.000)
Sc (0.317, 0.317, 0.633)
Sc (0.317, 0.684, 0.000)
Sc (0.684, 0.317, 0.000)
Sc (0.684, 0.684, 0.367)
Cd (0.731, 0.731, 0.000)

Output
- Magnetization: 0.0 Bohr magnetons per cell

=====

[3]
Below is an optimized crystal structure of TbSc2Cd2, with properties calculated at the PBE level.

Cell: 12.389 12.389 12.389 Å, 158.11 158.11 31.15°
Fractional coordinates of all 10 atoms:
Tb (0.129, 0.129, 0.000)
Tb (0.871, 0.871, 0.000)
Sc (0.250, 0.750, 0.500)
Sc (0.428, 0.428, 0.000)
Sc (0.572, 0.572, 0.000)
Sc (0.750, 0.250, 0.500)
Cd (0.000, 0.500, 0.500)
Cd (0.317, 0.317, 0.000)
Cd (0.500, 0.000, 0.500)
Cd (0.683, 0.683, 0.000)

Output
- Offset from the most stable computed form: 4.92 kcal/mol of atoms
- Magnetization: 0.0 Bohr magnetons per cell

=====

E_form? In order: -0.31; 0.11; -0.01 eV/atom.
Theoretical density? In order: 8.0; 5.7; 6.0 g/cm³.